This record from Alexandria via LeMat-Bulk describes an optimized crystal structure of CsPtPb2. The functional is PBE.

```
data_CsPtPb2
_chemical_formula_sum 'Cs4 Pt4 Pb8'
_cell_length_a 6.3216
_cell_length_b 6.3216
_cell_length_c 17.6056
_cell_angle_alpha 90.00
_cell_angle_beta 90.00
_cell_angle_gamma 90.00
_symmetry_space_group_name_H-M 'I 41/a m d'
_symmetry_Int_Tables_number 141
loop_
_symmetry_equiv_pos_as_xyz
'x,y,z'
'-x,-y,-z'
'-y+1/4,x+3/4,z+1/4'
'y+1/4,-x+3/4,-z+1/4'
'-x+1/2,-y,z+1/2'
'x+1/2,y,-z+1/2'
'y+1/4,-x+1/4,z+3/4'
'-y+1/4,x+1/4,-z+3/4'
'x,-y,-z'
'-x,y,z'
'-y+1/4,-x+1/4,-z+3/4'
'y+1/4,x+1/4,z+3/4'
'-x+1/2,y,-z+1/2'
'x+1/2,-y,z+1/2'
'y+1/4,x+3/4,-z+1/4'
'-y+1/4,-x+3/4,z+1/4'
'x+1/2,y+1/2,z+1/2'
'-x+1/2,-y+1/2,-z+1/2'
'-y+3/4,x+1/4,z+3/4'
'y+3/4,-x+1/4,-z+3/4'
'-x,-y+1/2,z'
'x,y+1/2,-z'
'y+3/4,-x+3/4,z+1/4'
'-y+3/4,x+3/4,-z+1/4'
'x+1/2,-y+1/2,-z+1/2'
'-x+1/2,y+1/2,z+1/2'
'-y+3/4,-x+3/4,-z+1/4'
'y+3/4,x+3/4,z+1/4'
'-x,y+1/2,-z'
'x,-y+1/2,z'
'y+3/4,x+1/4,-z+3/4'
'-y+3/4,-x+1/4,z+3/4'
loop_
_atom_site_label
_atom_site_type_symbol
_atom_site_fract_x
_atom_site_fract_y
_atom_site_fract_z
Cs1 Cs 0.0000 0.2500 0.3750
Pt1 Pt 0.0000 0.2500 0.8750
Pb1 Pb 0.0000 0.0000 0.0000
```

Results
Density (g/cm3): 7.01
VASP energy (eV/atom): -3.5545
Volume (Å³ per cell): 704
E_form (eV per atom): 0.023